1.
# La6ZnOs2

A geometry-optimized La6ZnOs2 structure (GGA-PBE, Alexandria).

```
data_La6ZnOs2
_chemical_formula_sum 'La12 Zn2 Os4'
_cell_length_a 12.6429
_cell_length_b 5.6419
_cell_length_c 9.7608
_cell_angle_alpha 90.00
_cell_angle_beta 129.91
_cell_angle_gamma 90.00
_symmetry_space_group_name_H-M 'C 1 2/m 1'
_symmetry_Int_Tables_number 12
loop_
_symmetry_equiv_pos_as_xyz
'x,y,z'
'-x,-y,-z'
'-x,y,-z'
'x,-y,z'
'x+1/2,y+1/2,z'
'-x+1/2,-y+1/2,-z'
'-x+1/2,y+1/2,-z'
'x+1/2,-y+1/2,z'
loop_
_atom_site_label
_atom_site_type_symbol
_atom_site_fract_x
_atom_site_fract_y
_atom_site_fract_z
_atom_site_occupancy
La1 La 0.0960 0.0000 0.3815 1
La2 La 0.1457 0.5000 0.0241 1
La3 La 0.1529 0.5000 0.6623 1
Zn1 Zn 0.0000 0.0000 0.0000 1
Os1 Os 0.0920 0.5000 0.3058 1
```

calculated total energy: -5.986 eV/atom
total magnetic moment: 0.000 μB/atom
D(E_F): 1.06 states/eV per atom
energy relative to the elements: -0.064 eV/atom


2.
# LaZn4Os2

A geometry-optimized LaZn4Os2 structure (GGA-PBE, Alexandria).

```
data_LaZn4Os2
_chemical_formula_sum 'La2 Zn8 Os4'
_cell_length_a 5.1979
_cell_length_b 5.1979
_cell_length_c 13.6593
_cell_angle_alpha 90.00
_cell_angle_beta 90.00
_cell_angle_gamma 90.00
_symmetry_space_group_name_H-M 'I 4/m m m'
_symmetry_Int_Tables_number 139
_symmetry_space_group_name_Hall '-I 4 2'
loop_
_atom_site_label
_atom_site_type_symbol
_atom_site_fract_x
_atom_site_fract_y
_atom_site_fract_z
_atom_site_occupancy
La1 La 0.0000 0.0000 0.0000 1
Zn1 Zn 0.0000 0.0000 0.2280 1
Zn2 Zn 0.0000 0.5000 0.0000 1
Os1 Os 0.0000 0.0000 0.4167 1
```

calculated total energy: -3.366 eV/atom
total magnetic moment: 0.347 μB/atom
D(E_F): 1.15 states/eV per atom
energy relative to the elements: 1.275 eV/atom


3.
# La8Zn2Os

A geometry-optimized La8Zn2Os structure (GGA-PBE, Alexandria).

```
data_La8Zn2Os
_chemical_formula_sum 'La16 Zn4 Os2'
_cell_length_a 5.9076
_cell_length_b 7.4649
_cell_length_c 14.7989
_cell_angle_alpha 90.00
_cell_angle_beta 90.00
_cell_angle_gamma 90.00
_symmetry_space_group_name_H-M 'I m m m'
_symmetry_Int_Tables_number 71
_symmetry_space_group_name_Hall '-I 2 2'
loop_
_atom_site_label
_atom_site_type_symbol
_atom_site_fract_x
_atom_site_fract_y
_atom_site_fract_z
_atom_site_occupancy
La1 La 0.0000 0.0000 0.1434 1
La2 La 0.0000 0.2339 0.3640 1
La3 La 0.0000 0.2765 0.0000 1
Zn1 Zn 0.0000 0.5000 0.1903 1
Os1 Os 0.0000 0.5000 0.5000 1
```

calculated total energy: -4.869 eV/atom
total magnetic moment: 0.000 μB/atom
D(E_F): 1.23 states/eV per atom
distance to the lowest polymorph of the same formula: 99 kJ/mol of formula units
energy relative to the elements: -0.033 eV/atom